Entry 1:
CsRbZnGeO, relaxed, DFT PBE; energy above the lowest structure with this stoichiometry = 0 meV/atom; formation energy without anion corrections = -0.61 eV/atom; M_tot = 0.00 μB/f.u.; total DFT energy (no corrections) = -3.1459 eV per atom
1.0
4.537 0.000 0.000
-2.261 4.878 0.000
-0.608 -2.441 8.385
Cs Rb Zn Ge O
1 1 1 1 1
direct
0.000 0.000 0.000 Cs
0.200 0.270 0.495 Rb
0.415 0.756 0.287 Zn
0.791 0.520 0.238 Ge
0.613 0.155 0.269 O

---

Entry 2:
CeI4O12, relaxed, DFT PBE; formation energy without anion corrections = -0.83 eV/atom; M_tot = 0.00 μB/f.u.; total DFT energy (no corrections) = -5.0465 eV per atom
1.0
10.272 0.000 0.000
0.000 10.272 0.000
0.000 0.000 5.385
Ce I O
2 8 24
direct
0.250 0.250 0.250 Ce
0.750 0.750 0.750 Ce
0.021 0.748 0.215 I
0.248 0.979 0.715 I
0.252 0.521 0.715 I
0.479 0.752 0.215 I
0.521 0.248 0.785 I
0.748 0.479 0.285 I
0.752 0.021 0.285 I
0.979 0.252 0.785 I
0.056 0.326 0.061 O
0.101 0.320 0.563 O
0.131 0.850 0.758 O
0.150 0.631 0.258 O
0.174 0.056 0.439 O
0.180 0.101 0.937 O
0.320 0.399 0.937 O
0.326 0.444 0.439 O
0.350 0.869 0.258 O
0.369 0.650 0.758 O
0.399 0.180 0.563 O
0.444 0.174 0.061 O
0.556 0.826 0.939 O
0.601 0.820 0.437 O
0.631 0.350 0.242 O
0.650 0.131 0.742 O
0.674 0.556 0.561 O
0.680 0.601 0.063 O
0.820 0.899 0.063 O
0.826 0.944 0.561 O
0.850 0.369 0.742 O
0.869 0.150 0.242 O
0.899 0.680 0.437 O
0.944 0.674 0.939 O

---

Entry 3:
Tb6Pr2Al, relaxed, DFT PBE; energy of formation = 0.7 kcal/mol of atoms; M_tot = 0.00 μB/f.u.; total DFT energy (no corrections) = -4.5353 eV per atom
1.0
-1.772 5.135 7.841
1.772 -5.135 7.841
1.772 5.135 -7.841
Tb Pr Al
6 2 1
direct
0.020 0.178 0.842 Tb
0.271 0.500 0.771 Tb
0.336 0.178 0.158 Tb
0.664 0.822 0.842 Tb
0.729 0.500 0.229 Tb
0.980 0.822 0.158 Tb
0.356 0.856 0.500 Pr
0.644 0.144 0.500 Pr
0.000 0.000 0.000 Al

---

Entry 4:
La2CoSb, relaxed, DFT PBE; energy above the lowest structure with this stoichiometry = 155 meV/atom; formation energy without anion corrections = -0.39 eV/atom; M_tot = 1.16 μB/f.u.; total DFT energy (no corrections) = -5.6646 eV per atom
1.0
5.169 0.000 0.000
0.000 5.169 0.000
0.000 0.000 4.060
La Co Sb
2 1 1
direct
0.000 0.500 0.000 La
0.500 0.000 0.000 La
0.000 0.000 0.500 Co
0.500 0.500 0.500 Sb

---

Entry 5:
BaSr2CaIr, relaxed, DFT PBE; energy of formation = -2.5 kcal/mol of atoms; energy above the lowest structure with this stoichiometry = 0 meV/atom; M_tot = 0.00 μB/f.u.; total DFT energy (no corrections) = -3.3389 eV per atom
1.0
6.011 0.000 0.000
0.000 6.011 0.000
0.000 0.000 5.738
Ba Sr Ca Ir
1 2 1 1
direct
0.000 0.000 0.000 Ba
0.000 0.500 0.500 Sr
0.500 0.000 0.500 Sr
0.500 0.500 0.000 Ca
0.500 0.500 0.500 Ir

---

Entry 6:
Cr2Fe, relaxed, DFT PBE; energy of formation = 12.6 kcal/mol of atoms; M_tot = 0.67 μB/f.u.; total DFT energy (no corrections) = -8.6905 eV per atom
1.0
-1.219 1.860 8.164
1.219 -1.860 8.164
1.219 1.860 -8.164
Cr Fe
4 2
direct
0.288 0.038 0.250 Cr
0.434 0.184 0.250 Cr
0.566 0.816 0.750 Cr
0.712 0.962 0.750 Cr
0.134 0.384 0.750 Fe
0.866 0.616 0.250 Fe

---

Entry 7:
SiB2Cl, relaxed, DFT PBE; energy above the lowest structure with this stoichiometry = 45 meV/atom; formation energy without anion corrections = 0.15 eV/atom; M_tot = 0.00 μB/f.u.; total DFT energy (no corrections) = -5.0053 eV per atom
1.0
3.416 0.000 0.000
1.707 2.959 0.000
1.387 -0.688 7.117
Si B Cl
1 2 1
direct
0.000 0.000 0.000 Si
0.666 0.667 0.002 B
0.783 0.616 0.778 B
0.908 0.560 0.539 Cl

---

Entry 8:
KBeSe, relaxed, DFT PBE; energy above the lowest structure with this stoichiometry = 1323 meV/atom; formation energy without anion corrections = 0.68 eV/atom; M_tot = 0.00 μB/f.u.; total DFT energy (no corrections) = -2.0854 eV per atom
1.0
0.000 3.548 3.548
3.548 0.000 3.548
3.548 3.548 0.000
K Be Se
1 1 1
direct
0.000 0.000 0.000 K
0.750 0.750 0.750 Be
0.250 0.250 0.250 Se

---

Entry 9:
Y2ErTm6, relaxed, DFT PBE; energy of formation = 0.7 kcal/mol of atoms; energy above the lowest structure with this stoichiometry = 0 meV/atom; M_tot = 0.00 μB/f.u.; total DFT energy (no corrections) = -4.8959 eV per atom
1.0
10.524 0.000 0.000
0.000 10.524 0.000
0.000 0.000 4.968
Y Er Tm
4 2 12
direct
0.166 0.166 0.000 Y
0.334 0.666 0.500 Y
0.666 0.334 0.500 Y
0.834 0.834 0.000 Y
0.000 0.000 0.500 Er
0.500 0.500 0.000 Er
0.000 0.334 0.500 Tm
0.000 0.666 0.500 Tm
0.166 0.500 0.000 Tm
0.167 0.833 0.000 Tm
0.333 0.333 0.500 Tm
0.334 0.000 0.500 Tm
0.500 0.166 0.000 Tm
0.500 0.834 0.000 Tm
0.666 0.000 0.500 Tm
0.667 0.667 0.500 Tm
0.833 0.167 0.000 Tm
0.834 0.500 0.000 Tm

---

Entry 10:
SmCd4Pt2, relaxed, DFT PBE; energy of formation = -11.4 kcal/mol of atoms; energy above the lowest structure with this stoichiometry = 0 meV/atom; M_tot = 0.00 μB/f.u.; total DFT energy (no corrections) = -3.4192 eV per atom
1.0
8.714 0.000 0.000
0.000 8.714 0.000
0.000 0.000 4.064
Sm Cd Pt
2 8 4
direct
0.000 0.000 0.000 Sm
0.500 0.500 0.500 Sm
0.098 0.339 0.500 Cd
0.161 0.598 0.000 Cd
0.339 0.098 0.500 Cd
0.402 0.839 0.000 Cd
0.598 0.161 0.000 Cd
0.661 0.902 0.500 Cd
0.839 0.402 0.000 Cd
0.902 0.661 0.500 Cd
0.176 0.824 0.500 Pt
0.324 0.324 0.000 Pt
0.676 0.676 0.000 Pt
0.824 0.176 0.500 Pt

---

Entry 11:
TbSmPt, relaxed, DFT PBE; energy of formation = -16.7 kcal/mol of atoms; energy above the lowest structure with this stoichiometry = 152 meV/atom; M_tot = 0.00 μB/f.u.; total DFT energy (no corrections) = -5.8562 eV per atom
1.0
4.162 0.000 0.000
-2.081 3.605 0.000
0.000 0.000 6.245
Tb Sm Pt
1 1 1
direct
0.000 0.000 0.000 Tb
0.667 0.333 0.517 Sm
0.333 0.667 0.767 Pt

---

Entry 12:
NdDyHo2Sc4, relaxed, DFT PBE; energy of formation = 10.1 kcal/mol of atoms; M_tot = 3.67 μB/f.u.; total DFT energy (no corrections) = -5.0434 eV per atom
1.0
-3.264 5.646 6.339
3.264 -5.646 6.339
3.264 5.646 -6.339
Nd Dy Ho Sc
2 2 4 8
direct
0.000 0.000 0.000 Nd
0.500 0.000 0.500 Nd
0.500 0.000 0.000 Dy
0.500 0.500 0.500 Dy
0.000 0.000 0.500 Ho
0.000 0.500 0.000 Ho
0.000 0.500 0.500 Ho
0.500 0.500 0.000 Ho
0.249 0.250 0.501 Sc
0.249 0.748 0.999 Sc
0.249 0.749 0.500 Sc
0.250 0.251 0.000 Sc
0.750 0.749 0.000 Sc
0.751 0.251 0.500 Sc
0.751 0.252 0.001 Sc
0.751 0.750 0.499 Sc

---

Q: Look up the M_tot of the fourth one.
A: 1.16 μB/f.u.